No. 1
Below is crystalline LaSbSe2Br at its relaxed geometry, with properties calculated at the PBE level.

Values from the calculation:
Total energy = -20.20 eV/cell
Relative energy among the computed polymorphs = 0.00 eV per formula unit
N(E_F) = 1.32 states/eV per atom
E_form (uncorrected) = -2.51 eV per formula unit
Total moment = 0.460 μB per cell
SG = No. 123

Lattice parameters (Å, degrees): 5.4638 5.4638 5.3767 90.00 90.00 90.00
Last column: nearest neighbours and their distance in Å.
Element x y z (fractional)
La: 0.0000 0.0000 0.0000  8 Se 3.83, 4 Br 3.86
Sb: 0.5000 0.5000 0.5000  2 Br 2.69, 4 Se 2.73
Se: 0.0000 0.5000 0.5000  2 Sb 2.73
Se: 0.5000 0.0000 0.5000  2 Sb 2.73
Br: 0.5000 0.5000 0.0000  2 Sb 2.69

No. 2
Below is crystalline La6Sb3Se2Br at its relaxed geometry, with properties calculated at the PBE level.

Values from the calculation:
Total energy = -69.10 eV/cell
N(E_F) = 0.51 states/eV per atom
E_form (uncorrected) = -18.53 eV per formula unit
Total moment = 0.000 μB per cell
SG = No. 12

Lattice parameters (Å, degrees): 9.9861 9.9861 8.9180 101.70 101.70 26.07
Last column: nearest neighbours and their distance in Å.
Element x y z (fractional)
La: 0.0057 0.0057 0.2571  1 Se 3.08, 3 Sb 3.14-3.21, 2 Br 3.20
La: 0.3290 0.3290 0.9038  2 Se 3.10, 3 Sb 3.17-3.22, 1 Br 3.26
La: 0.3298 0.3298 0.4225  3 Se 3.09-3.12, 3 Sb 3.24
La: 0.6702 0.6702 0.5775  3 Se 3.09-3.12, 3 Sb 3.24
La: 0.6710 0.6710 0.0962  2 Se 3.10, 3 Sb 3.17-3.22, 1 Br 3.26
La: 0.9943 0.9943 0.7429  1 Se 3.08, 3 Sb 3.14-3.21, 2 Br 3.20
Sb: 0.1626 0.1626 0.8343  6 La 3.17-3.24
Sb: 0.5000 0.5000 0.5000  6 La 3.14-3.24
Sb: 0.8374 0.8374 0.1657  6 La 3.17-3.24
Se: 0.1674 0.1674 0.3339  6 La 3.08-3.12
Se: 0.8326 0.8326 0.6661  6 La 3.08-3.12
Br: 0.5000 0.5000 0.0000  6 La 3.20-3.26

No. 3
Below is crystalline LaSbSeBr2 at its relaxed geometry, with properties calculated at the PBE level.

Values from the calculation:
Total energy = -19.66 eV/cell
Relative energy among the computed polymorphs = 0.00 eV per formula unit
N(E_F) = 0.30 states/eV per atom
E_form (uncorrected) = -3.78 eV per formula unit
Total moment = 2.000 μB per cell
SG = No. 123

Lattice parameters (Å, degrees): 5.7653 5.7653 5.9650 90.00 90.00 90.00
Last column: nearest neighbours and their distance in Å.
Element x y z (fractional)
La: 0.0000 0.0000 0.0000  4 Br 2.88, 2 Se 2.98
Sb: 0.5000 0.5000 0.5000  4 Se 4.08, 8 Br 4.15
Se: 0.0000 0.0000 0.5000  2 La 2.98
Br: 0.0000 0.5000 0.0000  2 La 2.88
Br: 0.5000 0.0000 0.0000  2 La 2.88

No. 4
Below is crystalline La4SiSbBr2 at its relaxed geometry, with properties calculated at the PBE level.

Values from the calculation:
Total energy = -42.60 eV/cell
N(E_F) = 0.61 states/eV per atom
E_form (uncorrected) = -10.00 eV per formula unit
Total moment = 0.000 μB per cell
SG = No. 10

Lattice parameters (Å, degrees): 7.6197 4.4571 7.9006 90.00 109.53 90.00
Last column: nearest neighbours and their distance in Å.
Element x y z (fractional)
La: 0.2232 0.0000 0.2221  2 Si 2.99, 3 Br 3.16-3.34, 1 Sb 3.20
La: 0.2338 0.5000 0.7671  1 Si 2.96, 2 Br 3.16, 2 Sb 3.18
La: 0.7662 0.5000 0.2329  1 Si 2.96, 2 Br 3.16, 2 Sb 3.18
La: 0.7768 0.0000 0.7779  2 Si 2.99, 3 Br 3.16-3.34, 1 Sb 3.20
Si: 0.0000 0.5000 0.0000  6 La 2.96-2.99
Sb: 0.0000 0.0000 0.5000  6 La 3.18-3.20
Br: 0.5000 0.0000 0.0000  6 La 3.16
Br: 0.5000 0.5000 0.5000  6 La 3.34-3.38

No. 5
Below is crystalline LaSmSbBr at its relaxed geometry, with properties calculated at the PBE level.

Values from the calculation:
Total energy = -20.05 eV/cell
N(E_F) = 0.86 states/eV per atom
E_form (uncorrected) = -4.61 eV per formula unit
Total moment = 0.195 μB per cell
SG = No. 216

Lattice parameters (Å, degrees): 5.4230 5.4230 5.4230 60.00 60.00 60.00
Last column: nearest neighbours and their distance in Å.
Element x y z (fractional)
La: 0.0000 0.0000 0.0000  4 Br 3.32, 4 Sb 3.32
Sm: 0.5000 0.5000 0.5000  4 Br 3.32, 4 Sb 3.32
Sb: 0.2500 0.2500 0.2500  4 Sm 3.32, 4 La 3.32
Br: 0.7500 0.7500 0.7500  4 Sm 3.32, 4 La 3.32

No. 6
Below is crystalline La4SnSb2Br at its relaxed geometry, with properties calculated at the PBE level.

Values from the calculation:
Total energy = -43.39 eV/cell
N(E_F) = 0.39 states/eV per atom
E_form (uncorrected) = -9.76 eV per formula unit
Total moment = 0.000 μB per cell
SG = No. 139

Lattice parameters (Å, degrees): 7.9471 7.9471 7.9471 131.97 131.97 70.27
Last column: nearest neighbours and their distance in Å.
Element x y z (fractional)
La: 0.0000 0.5000 0.5000  2 Sn 3.23, 2 Br 3.23, 2 Sb 3.25
La: 0.2458 0.2458 0.0000  1 Sn 3.19, 4 Sb 3.23, 1 Br 3.30
La: 0.5000 0.0000 0.5000  2 Sn 3.23, 2 Br 3.23, 2 Sb 3.25
La: 0.7542 0.7542 0.0000  1 Sn 3.19, 4 Sb 3.23, 1 Br 3.30
Sn: 0.0000 0.0000 0.0000  6 La 3.19-3.23
Sb: 0.2500 0.7500 0.5000  6 La 3.23-3.25
Sb: 0.7500 0.2500 0.5000  6 La 3.23-3.25
Br: 0.5000 0.5000 0.0000  6 La 3.23-3.30

Q: Which formula does entry 2 have?
A: La6Sb3Se2Br

Repeat the sixth record exactly.
Below is crystalline La4SnSb2Br at its relaxed geometry, with properties calculated at the PBE level.

Values from the calculation:
Total energy = -43.39 eV/cell
N(E_F) = 0.39 states/eV per atom
E_form (uncorrected) = -9.76 eV per formula unit
Total moment = 0.000 μB per cell
SG = No. 139

Lattice parameters (Å, degrees): 7.9471 7.9471 7.9471 131.97 131.97 70.27
Last column: nearest neighbours and their distance in Å.
Element x y z (fractional)
La: 0.0000 0.5000 0.5000  2 Sn 3.23, 2 Br 3.23, 2 Sb 3.25
La: 0.2458 0.2458 0.0000  1 Sn 3.19, 4 Sb 3.23, 1 Br 3.30
La: 0.5000 0.0000 0.5000  2 Sn 3.23, 2 Br 3.23, 2 Sb 3.25
La: 0.7542 0.7542 0.0000  1 Sn 3.19, 4 Sb 3.23, 1 Br 3.30
Sn: 0.0000 0.0000 0.0000  6 La 3.19-3.23
Sb: 0.2500 0.7500 0.5000  6 La 3.23-3.25
Sb: 0.7500 0.2500 0.5000  6 La 3.23-3.25
Br: 0.5000 0.5000 0.0000  6 La 3.23-3.30